A relaxed structure of PuAlGa. Source: Alexandria via LeMat-Bulk, functional PBE.

Properties
Energy of formation = -341 meV/atom
Space group = No. 187
Crystal system = hexagonal

Cell and atoms, written as POSCAR:
```
PuAlGa
1.0
-2.725 -1.715 -1.017
1.494 0.196 -4.337
1.212 -3.519 2.688
Al Ga Pu
1 1 1
direct
0.167 0.667 0.333
0.167 0.000 0.000
0.667 0.333 0.667
```

A relaxed structure of BSb2S. Source: Alexandria via LeMat-Bulk, functional PBE.

Properties
Energy relative to the lowest polymorph listed for this composition = 0.4482 eV per atom
Space group = No. 225
Crystal system = cubic

Cell and atoms, written as POSCAR:
```
BSb2S
1.0
0.977 -4.606 0.453
-0.078 -2.025 4.274
-3.441 -3.050 1.109
Sb S B
2 1 1
direct
0.250 0.250 0.250
0.750 0.750 0.750
0.500 0.500 0.500
0.000 0.000 0.000
```

A relaxed structure of LiAlGe. Source: Alexandria via LeMat-Bulk, functional PBE.

Properties
Energy of formation = -111 meV/atom
Space group = No. 62
Crystal system = orthorhombic

Cell and atoms, written as POSCAR:
```
LiAlGe
1.0
-2.874 -0.712 6.017
-2.314 -2.678 -1.422
5.165 -5.431 1.824
Ge Al Li
4 4 4
direct
0.223 0.250 0.122
0.277 0.750 0.622
0.777 0.750 0.878
0.723 0.250 0.378
0.569 0.250 0.691
0.931 0.750 0.191
0.431 0.750 0.309
0.069 0.250 0.809
0.617 0.250 0.069
0.883 0.750 0.569
0.383 0.750 0.931
0.117 0.250 0.431
```

A relaxed structure of AcTlO4. Source: Alexandria via LeMat-Bulk, functional PBE.

Properties
Energy relative to the lowest polymorph listed for this composition = 0.0000 eV per atom
Space group = No. 8
Crystal system = monoclinic

Cell and atoms, written as POSCAR:
```
AcTlO4
1.0
3.957 0.000 0.000
-1.979 3.568 -0.329
0.000 0.125 6.817
Ac Tl O
1 1 4
direct
0.055 0.111 0.008
0.416 0.831 0.468
0.697 0.393 0.815
0.394 0.789 0.124
0.091 0.182 0.405
0.847 0.694 0.680
```

A relaxed structure of PmPr2HoBi5. Source: Alexandria via LeMat-Bulk, functional PBE.

Properties
Energy of formation = -183 meV/atom
Space group = No. 123
Crystal system = tetragonal

Cell and atoms, written as POSCAR:
```
PmPr2HoBi5
1.0
5.412 0.000 0.000
0.000 5.412 0.000
0.000 0.000 12.101
Pm Pr Ho Bi
1 2 1 5
direct
0.000 0.000 0.000
0.500 0.500 0.273
0.500 0.500 0.727
0.000 0.000 0.500
0.000 0.500 0.500
0.500 0.000 0.500
0.000 0.000 0.751
0.000 0.000 0.249
0.500 0.500 0.000
```

A relaxed structure of TbYGeAu. Source: Alexandria via LeMat-Bulk, functional PBE.

Properties
Energy relative to the lowest polymorph listed for this composition = 0.1124 eV per atom
Energy of formation = -760 meV/atom
Space group = No. 216
Crystal system = cubic

Cell and atoms, written as POSCAR:
```
TbYGeAu
1.0
5.093 0.000 0.000
2.546 4.410 0.000
2.546 1.470 4.158
Y Tb Ge Au
1 1 1 1
direct
0.750 0.750 0.750
0.250 0.250 0.250
0.000 0.000 0.000
0.500 0.500 0.500
```

A relaxed structure of NbVSbI2. Source: Alexandria via LeMat-Bulk, functional PBE.

Properties
Energy relative to the lowest polymorph listed for this composition = 0.0000 eV per atom
Space group = No. 123
Crystal system = tetragonal

Cell and atoms, written as POSCAR:
```
NbVSbI2
1.0
-2.310 2.823 -4.159
-4.977 -0.644 2.327
0.697 4.671 2.783
I Sb Nb V
2 1 1 1
direct
0.000 0.500 0.000
0.500 0.000 0.000
0.000 0.000 0.500
0.000 0.000 0.000
0.500 0.500 0.500
```

A relaxed structure of Li2HPdPb. Source: Alexandria via LeMat-Bulk, functional PBE.

Properties
Energy relative to the lowest polymorph listed for this composition = 0.0000 eV per atom
Space group = No. 123
Crystal system = tetragonal

Cell and atoms, written as POSCAR:
```
Li2HPdPb
1.0
4.395 0.000 0.000
0.000 4.395 0.000
0.000 0.000 3.638
Pb H Pd Li
1 1 1 2
direct
0.500 0.500 0.500
0.000 0.000 0.000
0.000 0.000 0.500
0.000 0.500 0.000
0.500 0.000 0.000
```

A relaxed structure of PrY3Ho2Er6. Source: Alexandria via LeMat-Bulk, functional PBE.

Properties
Energy of formation = 23 meV/atom
Space group = No. 12
Crystal system = monoclinic

Cell and atoms, written as POSCAR:
```
PrY3Ho2Er6
1.0
6.134 0.002 0.012
-3.063 5.314 0.012
-1.042 -1.804 11.557
Pr Y Ho Er
1 3 2 6
direct
0.000 0.000 0.000
0.167 0.833 0.500
0.833 0.167 0.500
0.500 0.500 0.500
0.333 0.667 0.000
0.667 0.333 0.000
0.915 0.581 0.750
0.750 0.750 0.250
0.085 0.419 0.250
0.581 0.915 0.750
0.250 0.250 0.750
0.419 0.085 0.250
```

A relaxed structure of K3PuRh2Se6. Source: Alexandria via LeMat-Bulk, functional PBE.

Properties
E_tot = -5.35 eV/atom
Space group = No. 12
Crystal system = monoclinic

Cell and atoms, written as POSCAR:
```
K3PuRh2Se6
1.0
6.761 -0.001 -0.008
-3.379 5.856 -0.008
-1.138 -1.970 7.676
K Pu Rh Se
3 1 2 6
direct
0.158 0.842 0.500
0.842 0.158 0.500
0.500 0.500 0.500
0.000 0.000 0.000
0.333 0.667 0.000
0.667 0.333 0.000
0.937 0.570 0.813
0.696 0.696 0.185
0.063 0.430 0.187
0.570 0.937 0.813
0.304 0.304 0.815
0.430 0.063 0.187
```

A relaxed structure of MgIn3Hg5. Source: Alexandria via LeMat-Bulk, functional PBE.

Properties
Energy relative to the lowest polymorph listed for this composition = 0.0000 eV per atom
Energy of formation = -27 meV/atom
Space group = No. 193
Crystal system = hexagonal

Cell and atoms, written as POSCAR:
```
MgIn3Hg5
1.0
-2.667 5.713 -1.611
-6.543 -1.325 6.133
7.651 4.242 2.378
Mg In Hg
2 6 10
direct
0.000 0.000 0.000
0.500 0.000 0.000
0.750 0.383 0.000
0.750 0.617 0.617
0.750 0.000 0.383
0.250 0.617 0.000
0.250 0.383 0.383
0.250 0.000 0.617
0.000 0.333 0.667
0.500 0.667 0.333
0.000 0.667 0.333
0.500 0.333 0.667
0.750 0.725 0.000
0.750 0.275 0.275
0.750 0.000 0.725
0.250 0.275 0.000
0.250 0.725 0.725
0.250 0.000 0.275
```

A relaxed structure of PrAlNiPt. Source: Alexandria via LeMat-Bulk, functional PBE.

Properties
Energy of formation = -807 meV/atom
Space group = No. 160
Crystal system = trigonal

Cell and atoms, written as POSCAR:
```
PrAlNiPt
1.0
-2.051 3.758 0.310
-1.658 -3.508 1.835
4.263 2.093 2.840
Pr Al Ni Pt
1 1 1 1
direct
0.617 0.235 0.494
0.118 0.236 0.996
0.818 0.636 0.096
0.413 0.826 0.881
```

A relaxed structure of RbLaSF2. Source: Alexandria via LeMat-Bulk, functional PBE.

Properties
Energy relative to the lowest polymorph listed for this composition = 0.7390 eV per atom
Space group = No. 123
Crystal system = tetragonal

Cell and atoms, written as POSCAR:
```
RbLaSF2
1.0
-1.716 -1.875 -3.792
6.700 0.643 -3.349
1.159 -4.144 1.524
S F Rb La
1 2 1 1
direct
0.500 0.500 0.500
0.000 0.000 0.500
0.500 0.000 0.000
0.000 0.500 0.000
0.000 0.000 0.000
```

A relaxed structure of YNiB. Source: Alexandria via LeMat-Bulk, functional PBE.

Properties
Energy relative to the lowest polymorph listed for this composition = 0.0000 eV per atom
Energy of formation = -395 meV/atom
Space group = No. 14
Crystal system = monoclinic

Cell and atoms, written as POSCAR:
```
YNiB
1.0
4.987 0.000 0.000
0.000 6.063 0.109
0.000 -3.038 6.050
Y B Ni
4 4 4
direct
0.361 0.217 0.413
0.139 0.717 0.913
0.639 0.783 0.587
0.861 0.283 0.087
0.633 0.480 0.790
0.867 0.980 0.290
0.367 0.520 0.210
0.133 0.020 0.710
0.889 0.221 0.615
0.611 0.721 0.115
0.111 0.779 0.385
0.389 0.279 0.885
```

A relaxed structure of CsTlHSe. Source: Alexandria via LeMat-Bulk, functional PBE.

Properties
Energy relative to the lowest polymorph listed for this composition = 0.0000 eV per atom
Space group = No. 1
Crystal system = triclinic

Cell and atoms, written as POSCAR:
```
CsTlHSe
1.0
-0.310 1.150 -4.467
3.509 -1.931 -2.304
-3.254 -5.136 -1.603
Cs Tl H Se
1 1 1 1
direct
0.032 0.425 0.764
0.369 0.763 0.236
0.410 0.803 0.926
0.744 0.139 0.331
```

A relaxed structure of Rb2CuBrCl3. Source: Alexandria via LeMat-Bulk, functional PBE.

Properties
Energy relative to the lowest polymorph listed for this composition = 0.0294 eV per atom
Space group = No. 71
Crystal system = orthorhombic

Cell and atoms, written as POSCAR:
```
Rb2CuBrCl3
1.0
5.191 0.000 0.000
0.000 5.108 0.000
-2.595 -2.554 7.985
Rb Cu Br Cl
2 1 1 3
direct
0.642 0.642 0.285
0.358 0.358 0.715
0.000 0.000 0.000
0.500 0.000 0.000
0.000 0.500 0.000
0.149 0.149 0.298
0.851 0.851 0.702
```

A relaxed structure of Y4Ho6Mg. Source: Alexandria via LeMat-Bulk, functional PBE.

Properties
Energy of formation = 289 meV/atom
Space group = No. 121
Crystal system = tetragonal

Cell and atoms, written as POSCAR:
```
Y4Ho6Mg
1.0
-3.925 4.539 2.479
0.723 -2.600 5.906
8.292 4.054 -2.799
Y Ho Mg
4 6 1
direct
0.040 0.688 0.729
0.960 0.960 0.271
0.688 0.040 0.729
0.312 0.312 0.271
0.850 0.485 0.335
0.485 0.850 0.335
0.515 0.515 0.665
0.000 0.500 0.000
0.150 0.150 0.665
0.500 0.000 0.000
0.500 0.500 0.000
```

A relaxed structure of Tb4SmDy4. Source: Alexandria via LeMat-Bulk, functional PBE.

Properties
Energy relative to the lowest polymorph listed for this composition = 0.0680 eV per atom
Energy of formation = 85 meV/atom
Space group = No. 12
Crystal system = monoclinic

Cell and atoms, written as POSCAR:
```
Tb4SmDy4
1.0
-6.525 -5.352 3.548
9.062 0.060 -1.298
-1.897 11.431 6.650
Tb Sm Dy
8 2 8
direct
0.185 0.814 0.500
0.143 0.857 0.000
0.524 0.808 0.666
0.192 0.476 0.334
0.808 0.524 0.666
0.476 0.192 0.334
0.857 0.143 0.000
0.815 0.186 0.500
0.502 0.502 0.779
0.498 0.498 0.221
0.144 0.516 0.834
0.484 0.856 0.166
0.171 0.171 0.445
0.163 0.162 0.888
0.829 0.829 0.555
0.837 0.838 0.112
0.856 0.484 0.166
0.516 0.144 0.834
```

A relaxed structure of Sr4NpPa3As8. Source: Alexandria via LeMat-Bulk, functional PBE.

Properties
Energy of formation = -1094 meV/atom
Space group = No. 166
Crystal system = trigonal

Cell and atoms, written as POSCAR:
```
Sr4NpPa3As8
1.0
8.508 0.000 0.000
0.000 8.657 0.097
-4.254 -4.249 6.019
Sr Np Pa As
4 1 3 8
direct
0.500 0.000 0.000
0.500 0.000 0.500
0.000 0.000 0.000
0.000 0.000 0.500
0.000 0.500 0.000
0.500 0.500 0.000
0.500 0.500 0.500
0.000 0.500 0.500
0.242 0.718 0.976
0.242 0.718 0.484
0.261 0.282 0.521
0.734 0.718 0.976
0.266 0.282 0.024
0.739 0.718 0.479
0.758 0.282 0.516
0.758 0.282 0.024
```

A relaxed structure of LiNi2Pt. Source: Alexandria via LeMat-Bulk, functional PBE.

Properties
Energy of formation = -188 meV/atom
Space group = No. 123
Crystal system = tetragonal

Cell and atoms, written as POSCAR:
```
LiNi2Pt
1.0
3.731 0.000 0.000
0.000 3.607 0.000
0.000 0.000 3.607
Li Ni Pt
1 2 1
direct
0.500 0.000 0.500
0.000 0.000 0.000
0.000 0.500 0.500
0.500 0.500 0.000
```

A relaxed structure of KNa2Ca2. Source: Alexandria via LeMat-Bulk, functional PBE.

Properties
Energy relative to the lowest polymorph listed for this composition = 0.0000 eV per atom
Energy of formation = 125 meV/atom
Space group = No. 127
Crystal system = tetragonal

Cell and atoms, written as POSCAR:
```
KNa2Ca2
1.0
10.726 0.000 0.000
0.000 10.726 0.000
0.000 0.000 3.968
Na Ca K
4 4 2
direct
0.336 0.836 0.000
0.836 0.664 0.000
0.664 0.164 0.000
0.164 0.336 0.000
0.128 0.628 0.500
0.628 0.872 0.500
0.872 0.372 0.500
0.372 0.128 0.500
0.000 0.000 0.000
0.500 0.500 0.000
```